LiYAl2 | PBE | optimized geometry

Output
Offset from the most stable computed form ... 0.016 eV/atom
VASP energy ... -4.24 eV/atom
Total magnetic moment ... 0.0000 μB per atom
Fermi-level density of states ... 2.0 states/eV/f.u.

a = 4.367 Å, b = 4.367 Å, c = 5.703 Å
α = 67.42°, β = 67.42°, γ = 60.09°
Element x y z (fractional)
Li  0.750  0.750  0.750
Al  0.458  0.458  0.626
Al  0.042  0.042  0.874
Y  0.250  0.250  0.250



La2BPd2Pt4 | PBE | optimized geometry

Output
VASP energy ... -6.55 eV/atom
Total magnetic moment ... 0.0000 μB per atom
Fermi-level density of states ... 5.1 states/eV/f.u.

a = 6.146 Å, b = 6.146 Å, c = 6.146 Å
α = 87.75°, β = 121.31°, γ = 121.31°
Element x y z (fractional)
La  0.500  0.750  0.250
La  0.500  0.250  0.750
Pd  0.000  0.263  0.263
Pd  0.000  0.737  0.737
B  0.000  0.000  0.000
Pt  0.000  0.254  0.746
Pt  0.000  0.746  0.254
Pt  0.507  0.254  0.254
Pt  0.493  0.746  0.746



SiPdS2N | PBE | optimized geometry

Output
Energy relative to the elements, uncorrected ... 0.388 eV per atom
Offset from the most stable computed form ... 0.000 eV/atom
VASP energy ... -5.05 eV/atom
Total magnetic moment ... 0.0000 μB per atom
Fermi-level density of states ... 4.3 states/eV/f.u.

a = 4.773 Å, b = 4.773 Å, c = 3.249 Å
α = 90.00°, β = 90.00°, γ = 90.00°
Element x y z (fractional)
S  0.000  0.500  0.000
S  0.500  0.000  0.000
Si  0.000  0.000  0.000
Pd  0.500  0.500  0.500
N  0.000  0.000  0.500